The following is a PBE calculation of a relaxed structure of HgP2Au2, from Alexandria.

Cell lengths 3.336, 3.336, 16.795 Å; angles 90.00, 90.00, 90.00 degrees
Space group I4/mmm (No. 139)
Asymmetric unit:
Hg1 0.000 0.000 0.000 (multiplicity 2)
P1 0.000 0.500 0.250 (multiplicity 4)
Au1 0.000 0.000 0.393 (multiplicity 4)

Output
Polymorph energy (0 for the lowest one) ... 35 meV per atom
E_tot ... -3.211 eV per atom
Crystal system ... tetragonal
E_form ... 0.324 eV per atom